Density functional theory data (PBE-GGA) for crystalline AcSmNi at its relaxed geometry.

The structure in POSCAR format:
```
AcSmNi
1.0
-3.053 1.444 1.321
-1.404 0.090 -3.343
-0.236 -6.777 1.884
Ni Ac Sm
1 1 1
direct
0.654 0.654 0.309
0.302 0.302 0.604
0.043 0.043 0.087
```

Output
space group = No. 107
calculated formation energy = -93 meV/atom
DOS(E_F) = 1.37 states/eV/atom
energy above the lowest structure with this stoichiometry = 7.8 kJ/mol of atoms

***

Density functional theory data (PBE-GGA) for crystalline Ac2SmNi at its relaxed geometry.

The structure in POSCAR format:
```
Ac2SmNi
1.0
-3.586 -1.114 -1.188
-0.391 -2.407 -3.093
-0.854 -9.720 5.163
Ni Ac Sm
1 2 1
direct
0.500 0.500 0.500
0.112 0.112 0.665
0.888 0.888 0.335
0.000 0.000 0.000
```

Output
space group = No. 166
calculated formation energy = 153 meV/atom
DOS(E_F) = 1.56 states/eV/atom
energy above the lowest structure with this stoichiometry = 27.2 kJ/mol of atoms

***

Density functional theory data (PBE-GGA) for crystalline Ac12SmNi6 at its relaxed geometry.

The structure in POSCAR format:
```
Ac12SmNi6
1.0
-6.526 -6.622 -0.564
8.370 -3.741 -1.647
-0.104 3.743 8.528
Ac Sm Ni
12 1 6
direct
0.315 0.131 0.817
0.315 0.498 0.183
0.685 0.502 0.817
0.685 0.869 0.183
0.131 0.817 0.315
0.498 0.183 0.315
0.502 0.817 0.685
0.869 0.183 0.685
0.817 0.315 0.131
0.183 0.315 0.498
0.817 0.685 0.502
0.183 0.685 0.869
0.000 0.000 0.000
0.383 0.500 0.883
0.617 0.500 0.117
0.500 0.883 0.383
0.500 0.117 0.617
0.883 0.383 0.500
0.117 0.617 0.500
```

Output
space group = No. 204
calculated formation energy = -164 meV/atom
DOS(E_F) = 1.17 states/eV/atom